A relaxed structure of NaGaSi. Source: Alexandria, functional PBE-GGA.

a = 4.2398 Å, b = 4.2398 Å, c = 26.2012 Å
α = 90.00°, β = 90.00°, γ = 120.00°
Space group R-3m (No. 166, hexagonal axes)
One atom of each set of equivalent atoms:
Na 0.0000 0.0000 0.1244 (multiplicity 6)
Ga 0.0000 0.0000 0.3739 (multiplicity 6)
Si 0.0000 0.0000 0.2699 (multiplicity 6)

The value obtained for the uncorrected formation energy is 11 kJ/mol of formula units. The raw total energy comes out at -0.2365 Ry/atom. Its crystal system is trigonal.



A relaxed structure of NaGaSi. Source: Alexandria, functional PBE-GGA.

a = 6.107 Å, b = 3.622 Å, c = 12.484 Å
α = 90.00°, β = 90.00°, γ = 90.00°
Space group Pnma (No. 62)
One atom of each set of equivalent atoms:
Na 0.074 0.250 0.124 (multiplicity 4)
Ga 0.033 0.750 0.327 (multiplicity 4)
Si 0.130 0.250 0.482 (multiplicity 4)

The value obtained for the uncorrected formation energy is 15 kJ/mol of formula units. The raw total energy comes out at -0.2355 Ry/atom. Its crystal system is orthorhombic.



A relaxed structure of NaGaSi. Source: Alexandria, functional PBE-GGA.

a = 3.471 Å, b = 3.838 Å, c = 5.227 Å
α = 90.00°, β = 90.00°, γ = 90.00°
Space group Pmmm (No. 47)
One atom of each set of equivalent atoms:
Na 0.000 0.000 0.000 (multiplicity 1)
Ga 0.000 0.500 0.500 (multiplicity 1)
Si 0.500 0.000 0.500 (multiplicity 1)

The value obtained for the uncorrected formation energy is 46 kJ/mol of formula units. The raw total energy comes out at -0.2276 Ry/atom. Its crystal system is orthorhombic.



A relaxed structure of Na2GaSi. Source: Alexandria, functional PBE-GGA.

a = 7.130 Å, b = 4.119 Å, c = 8.091 Å
α = 90.00°, β = 107.52°, γ = 90.00°
Space group Cm (No. 8)
One atom of each set of equivalent atoms:
Na 0.000 0.000 0.000 (multiplicity 2)
Na 0.200 0.000 0.590 (multiplicity 2)
Ga 0.431 0.000 0.288 (multiplicity 2)
Si 0.269 0.500 0.301 (multiplicity 2)

The value obtained for the uncorrected formation energy is -8 kJ/mol of formula units. The excess energy over the best structure of this formula in the dataset comes out at 0 meV per atom. The raw total energy comes out at -0.2052 Ry/atom. Its crystal system is monoclinic.